No. 1
Here is a relaxed HoPuAlOs crystal from Alexandria via LeMat-Bulk. Energies are from PBE.

a b c (Å): 4.909 4.909 4.909
angles (deg): 60.00 60.00 60.00
Atoms (fractional coordinates):
1 Ho 0.000 0.000 0.000
2 Pu 0.500 0.500 0.500
3 Al 0.750 0.750 0.750
4 Os 0.250 0.250 0.250

No. 2
Here is a relaxed HoScAlOs crystal from Alexandria via LeMat-Bulk. Energies are from PBE.

a b c (Å): 4.786 4.786 4.786
angles (deg): 60.00 60.00 60.00
Atoms (fractional coordinates):
1 Ho 0.000 0.000 0.000
2 Sc 0.500 0.500 0.500
3 Al 0.750 0.750 0.750
4 Os 0.250 0.250 0.250

No. 3
Here is a relaxed HoAl2SiOs2 crystal from Alexandria via LeMat-Bulk. Energies are from PBE.

a b c (Å): 4.447 4.447 5.590
angles (deg): 90.00 90.00 90.00
Atoms (fractional coordinates):
1 Ho 0.000 0.000 0.000
2 Al 0.500 0.500 0.234
3 Al 0.500 0.500 0.766
4 Si 0.000 0.000 0.500
5 Os 0.000 0.500 0.500
6 Os 0.500 0.000 0.500

Properties
ΔE_f (raw)	-1.12	eV per formula unit

No. 4
Here is a relaxed SmHoAlOs crystal from Alexandria via LeMat-Bulk. Energies are from PBE.

a b c (Å): 4.987 4.987 4.987
angles (deg): 60.00 60.00 60.00
Atoms (fractional coordinates):
1 Sm 0.000 0.000 0.000
2 Ho 0.500 0.500 0.500
3 Al 0.250 0.250 0.250
4 Os 0.750 0.750 0.750

No. 5
Here is a relaxed Ho2TaAl2Os5 crystal from Alexandria via LeMat-Bulk. Energies are from PBE.

a b c (Å): 10.098 10.098 3.330
angles (deg): 90.00 90.00 90.00
Atoms (fractional coordinates):
1 Ho 0.172 0.328 0.000
2 Ho 0.328 0.828 0.000
3 Ho 0.672 0.172 0.000
4 Ho 0.828 0.672 0.000
5 Ta 0.000 0.000 0.000
6 Ta 0.500 0.500 0.000
7 Al 0.127 0.627 0.000
8 Al 0.373 0.127 0.000
9 Al 0.627 0.873 0.000
10 Al 0.873 0.373 0.000
11 Os 0.000 0.500 0.500
12 Os 0.065 0.801 0.500
13 Os 0.199 0.065 0.500
14 Os 0.301 0.565 0.500
15 Os 0.435 0.301 0.500
16 Os 0.500 0.000 0.500
17 Os 0.565 0.699 0.500
18 Os 0.699 0.435 0.500
19 Os 0.801 0.935 0.500
20 Os 0.935 0.199 0.500

No. 6
Here is a relaxed TbHoAlOs crystal from Alexandria via LeMat-Bulk. Energies are from PBE.

a b c (Å): 4.942 4.942 4.942
angles (deg): 60.00 60.00 60.00
Atoms (fractional coordinates):
1 Tb 0.000 0.000 0.000
2 Ho 0.500 0.500 0.500
3 Al 0.750 0.750 0.750
4 Os 0.250 0.250 0.250

No. 7
Here is a relaxed HoTmAlOs crystal from Alexandria via LeMat-Bulk. Energies are from PBE.

a b c (Å): 4.895 4.895 4.895
angles (deg): 60.00 60.00 60.00
Atoms (fractional coordinates):
1 Ho 0.000 0.000 0.000
2 Tm 0.500 0.500 0.500
3 Al 0.250 0.250 0.250
4 Os 0.750 0.750 0.750

No. 8
Here is a relaxed HoZrAlOs crystal from Alexandria via LeMat-Bulk. Energies are from PBE.

a b c (Å): 4.814 4.814 4.814
angles (deg): 60.00 60.00 60.00
Atoms (fractional coordinates):
1 Ho 0.000 0.000 0.000
2 Zr 0.500 0.500 0.500
3 Al 0.250 0.250 0.250
4 Os 0.750 0.750 0.750

No. 9
Here is a relaxed HoAlP crystal from Alexandria via LeMat-Bulk. Energies are from PBE.

a b c (Å): 8.039 8.039 8.039
angles (deg): 33.52 33.52 33.52
Atoms (fractional coordinates):
1 Ho 0.094 0.094 0.094
2 Ho 0.906 0.906 0.906
3 Al 0.322 0.322 0.322
4 Al 0.678 0.678 0.678
5 P 0.218 0.218 0.218
6 P 0.782 0.782 0.782

No. 10
Here is a relaxed Ho6AlP2Se3 crystal from Alexandria via LeMat-Bulk. Energies are from PBE.

a b c (Å): 9.136 9.136 8.273
angles (deg): 103.56 103.56 25.27
Atoms (fractional coordinates):
1 Ho 0.004 0.004 0.254
2 Ho 0.328 0.328 0.429
3 Ho 0.333 0.333 0.902
4 Ho 0.667 0.667 0.098
5 Ho 0.672 0.672 0.571
6 Ho 0.996 0.996 0.746
7 Al 0.500 0.500 0.000
8 P 0.168 0.168 0.336
9 P 0.832 0.832 0.664
10 Se 0.168 0.168 0.831
11 Se 0.500 0.500 0.500
12 Se 0.832 0.832 0.169

Properties
ΔE_f (raw)	-17.77	eV per formula unit

No. 11
Here is a relaxed HoPa2Al9 crystal from Alexandria via LeMat-Bulk. Energies are from PBE.

a b c (Å): 4.287 4.287 12.868
angles (deg): 90.00 90.00 90.00
Atoms (fractional coordinates):
1 Ho 0.000 0.000 0.000
2 Pa 0.000 0.000 0.332
3 Pa 0.000 0.000 0.668
4 Al 0.000 0.500 0.165
5 Al 0.000 0.500 0.500
6 Al 0.000 0.500 0.835
7 Al 0.500 0.000 0.165
8 Al 0.500 0.000 0.500
9 Al 0.500 0.000 0.835
10 Al 0.500 0.500 0.000
11 Al 0.500 0.500 0.333
12 Al 0.500 0.500 0.667

No. 12
Here is a relaxed HoPaAl2 crystal from Alexandria via LeMat-Bulk. Energies are from PBE.

a b c (Å): 5.071 5.071 5.071
angles (deg): 60.00 60.00 60.00
Atoms (fractional coordinates):
1 Ho 0.000 0.000 0.000
2 Pa 0.500 0.500 0.500
3 Al 0.250 0.250 0.250
4 Al 0.750 0.750 0.750

No. 13
Here is a relaxed Ho12Pa5Al3 crystal from Alexandria via LeMat-Bulk. Energies are from PBE.

a b c (Å): 15.089 15.089 15.089
angles (deg): 109.47 109.47 109.47
Atoms (fractional coordinates):
1 Ho 0.069 0.233 0.144
2 Ho 0.069 0.336 0.925
3 Ho 0.075 0.644 0.411
4 Ho 0.075 0.931 0.664
5 Ho 0.089 0.733 0.664
6 Ho 0.089 0.856 0.425
7 Ho 0.144 0.069 0.233
8 Ho 0.144 0.575 0.911
9 Ho 0.164 0.233 0.589
10 Ho 0.164 0.431 0.575
11 Ho 0.233 0.144 0.069
12 Ho 0.233 0.589 0.164
13 Ho 0.267 0.336 0.911
14 Ho 0.267 0.431 0.356
15 Ho 0.336 0.911 0.267
16 Ho 0.336 0.925 0.069
17 Ho 0.356 0.267 0.431
18 Ho 0.356 0.589 0.925
19 Ho 0.411 0.075 0.644
20 Ho 0.411 0.836 0.767
21 Ho 0.425 0.089 0.856
22 Ho 0.425 0.836 0.569
23 Ho 0.431 0.356 0.267
24 Ho 0.431 0.575 0.164
25 Ho 0.569 0.425 0.836
26 Ho 0.569 0.644 0.733
27 Ho 0.575 0.164 0.431
28 Ho 0.575 0.911 0.144
29 Ho 0.589 0.164 0.233
30 Ho 0.589 0.925 0.356
31 Ho 0.644 0.411 0.075
32 Ho 0.644 0.733 0.569
33 Ho 0.664 0.075 0.931
34 Ho 0.664 0.089 0.733
35 Ho 0.733 0.569 0.644
36 Ho 0.733 0.664 0.089
37 Ho 0.767 0.411 0.836
38 Ho 0.767 0.856 0.931
39 Ho 0.836 0.569 0.425
40 Ho 0.836 0.767 0.411
41 Ho 0.856 0.425 0.089
42 Ho 0.856 0.931 0.767
43 Ho 0.911 0.144 0.575
44 Ho 0.911 0.267 0.336
45 Ho 0.925 0.069 0.336
46 Ho 0.925 0.356 0.589
47 Ho 0.931 0.664 0.075
48 Ho 0.931 0.767 0.856
49 Pa 0.000 0.000 0.000
50 Pa 0.000 0.000 0.500
51 Pa 0.000 0.500 0.000
52 Pa 0.000 0.500 0.500
53 Pa 0.125 0.750 0.875
54 Pa 0.125 0.875 0.250
55 Pa 0.250 0.125 0.875
56 Pa 0.250 0.625 0.375
57 Pa 0.375 0.250 0.625
58 Pa 0.375 0.625 0.750
59 Pa 0.500 0.000 0.000
60 Pa 0.500 0.000 0.500
61 Pa 0.500 0.500 0.000
62 Pa 0.500 0.500 0.500
63 Pa 0.625 0.375 0.250
64 Pa 0.625 0.750 0.375
65 Pa 0.750 0.375 0.625
66 Pa 0.750 0.875 0.125
67 Pa 0.875 0.125 0.750
68 Pa 0.875 0.250 0.125
69 Al 0.125 0.250 0.375
70 Al 0.125 0.375 0.750
71 Al 0.250 0.375 0.125
72 Al 0.250 0.875 0.625
73 Al 0.375 0.125 0.250
74 Al 0.375 0.750 0.125
75 Al 0.625 0.250 0.875
76 Al 0.625 0.875 0.750
77 Al 0.750 0.125 0.375
78 Al 0.750 0.625 0.875
79 Al 0.875 0.625 0.250
80 Al 0.875 0.750 0.625

No. 14
Here is a relaxed HoPaAl2 crystal from Alexandria via LeMat-Bulk. Energies are from PBE.

a b c (Å): 10.420 10.420 10.420
angles (deg): 17.75 17.75 17.75
Atoms (fractional coordinates):
1 Ho 0.000 0.000 0.000
2 Pa 0.500 0.500 0.500
3 Al 0.250 0.250 0.250
4 Al 0.750 0.750 0.750

No. 15
Here is a relaxed HoPaAl2 crystal from Alexandria via LeMat-Bulk. Energies are from PBE.

a b c (Å): 3.240 3.240 8.495
angles (deg): 90.00 90.00 90.00
Atoms (fractional coordinates):
1 Ho 0.000 0.000 0.000
2 Pa 0.000 0.000 0.500
3 Al 0.500 0.500 0.250
4 Al 0.500 0.500 0.750

No. 16
Here is a relaxed HoPaAl2 crystal from Alexandria via LeMat-Bulk. Energies are from PBE.

a b c (Å): 4.633 4.633 4.239
angles (deg): 90.00 90.00 90.00
Atoms (fractional coordinates):
1 Ho 0.000 0.000 0.000
2 Pa 0.500 0.500 0.000
3 Al 0.000 0.500 0.500
4 Al 0.500 0.000 0.500

No. 17
Here is a relaxed HoPaAlTc crystal from Alexandria via LeMat-Bulk. Energies are from PBE.

a b c (Å): 4.948 4.948 4.948
angles (deg): 60.00 60.00 60.00
Atoms (fractional coordinates):
1 Ho 0.000 0.000 0.000
2 Pa 0.500 0.500 0.500
3 Al 0.750 0.750 0.750
4 Tc 0.250 0.250 0.250

No. 18
Here is a relaxed HoPaAlZn crystal from Alexandria via LeMat-Bulk. Energies are from PBE.

a b c (Å): 5.036 5.036 5.036
angles (deg): 60.00 60.00 60.00
Atoms (fractional coordinates):
1 Ho 0.000 0.000 0.000
2 Pa 0.500 0.500 0.500
3 Al 0.250 0.250 0.250
4 Zn 0.750 0.750 0.750

No. 19
Here is a relaxed Ho6Al2Pb crystal from Alexandria via LeMat-Bulk. Energies are from PBE.

a b c (Å): 8.699 8.699 8.699
angles (deg): 113.06 111.83 103.68
Atoms (fractional coordinates):
1 Ho 0.025 0.821 0.205
2 Ho 0.241 0.536 0.295
3 Ho 0.241 0.946 0.705
4 Ho 0.278 0.313 0.591
5 Ho 0.278 0.687 0.964
6 Ho 0.384 0.179 0.205
7 Ho 0.616 0.821 0.795
8 Ho 0.722 0.313 0.036
9 Ho 0.722 0.687 0.409
10 Ho 0.759 0.054 0.295
11 Ho 0.759 0.464 0.705
12 Ho 0.975 0.179 0.795
13 Al 0.000 0.142 0.142
14 Al 0.000 0.858 0.858
15 Al 0.380 0.380 0.000
16 Al 0.620 0.620 0.000
17 Pb 0.000 0.500 0.500
18 Pb 0.500 0.000 0.500

No. 20
Here is a relaxed HoAl4Pb crystal from Alexandria via LeMat-Bulk. Energies are from PBE.

a b c (Å): 5.609 5.609 5.609
angles (deg): 60.00 60.00 60.00
Atoms (fractional coordinates):
1 Ho 0.000 0.000 0.000
2 Al 0.124 0.625 0.625
3 Al 0.625 0.124 0.625
4 Al 0.625 0.625 0.124
5 Al 0.625 0.625 0.625
6 Pb 0.250 0.250 0.250

No. 21
Here is a relaxed Ho8Al2Pb crystal from Alexandria via LeMat-Bulk. Energies are from PBE.

a b c (Å): 8.708 8.708 7.909
angles (deg): 110.16 110.16 32.73
Atoms (fractional coordinates):
1 Ho 0.049 0.049 0.228
2 Ho 0.161 0.161 0.732
3 Ho 0.320 0.320 0.559
4 Ho 0.395 0.395 0.039
5 Ho 0.605 0.605 0.961
6 Ho 0.680 0.680 0.441
7 Ho 0.839 0.839 0.268
8 Ho 0.951 0.951 0.772
9 Al 0.218 0.218 0.157
10 Al 0.782 0.782 0.843
11 Pb 0.500 0.500 0.500

no.,raw total energy (eV per atom)
1,-8.600
2,-6.822
3,-6.845
4,-6.276
5,-8.736
6,-6.313
7,-6.319
8,-7.333
9,-5.340
10,-5.854
11,-5.080
12,-5.513
13,-4.505
14,-5.438
15,-5.634
16,-5.538
17,-7.152
18,-4.872
19,-4.601
20,-4.034
21,-4.569